Pm2Cu2SbRh5 after structural relaxation. Source: the Alexandria database, functional GGA-PBE.

Lattice parameters (Å, degrees): 9.4991 9.4991 3.8380 90.00 90.00 90.00
Fractional coordinates of all 20 atoms:
Pm 0.1742 0.3258 0.0000
Pm 0.3258 0.8258 0.0000
Pm 0.6742 0.1742 0.0000
Pm 0.8258 0.6742 0.0000
Cu 0.1221 0.6221 0.0000
Cu 0.3779 0.1221 0.0000
Cu 0.6221 0.8779 0.0000
Cu 0.8779 0.3779 0.0000
Sb 0.0000 0.0000 0.0000
Sb 0.5000 0.5000 0.0000
Rh 0.0000 0.5000 0.5000
Rh 0.0685 0.7910 0.5000
Rh 0.2090 0.0685 0.5000
Rh 0.2910 0.5685 0.5000
Rh 0.4315 0.2910 0.5000
Rh 0.5000 0.0000 0.5000
Rh 0.5685 0.7090 0.5000
Rh 0.7090 0.4315 0.5000
Rh 0.7910 0.9315 0.5000
Rh 0.9315 0.2090 0.5000

Energy: -127.5 eV per cell
Spin magnetization: 0.00 μB/cell